Entry from the Alexandria database: crystalline K2MgSi at its relaxed geometry (PBE).

Computed properties:
space group: Cm (8)
magnetization: 0.0 μB/f.u.

Cell lengths 4.7279, 4.7279, 9.0394 Å; angles 105.13, 105.13, 59.94 degrees
With the nearest neighbours (Å) after each atom.
Element x y z (fractional)
K 0.0000 0.0000 0.0000  3 Si 3.53-3.54, 3 Mg 3.54
K 0.1732 0.1732 0.5223  3 Mg 3.54, 3 Si 3.54
Mg 0.7536 0.7536 0.2610  3 Si 2.73
Si 0.4203 0.4203 0.2608  3 Mg 2.73


Entry from the Alexandria database: crystalline KMgSi2 at its relaxed geometry (PBE).

Computed properties:
space group: R-3m (166)
magnetization: 0.0 μB/f.u.

Cell lengths 10.1732, 10.1732, 10.1732 Å; angles 17.69, 17.69, 17.69 degrees
With the nearest neighbours (Å) after each atom.
Element x y z (fractional)
K 0.0000 0.0000 0.0000  6 K 3.13, 6 Si 3.33
Mg 0.5000 0.5000 0.5000  6 Si 2.85, 6 Mg 3.13
Si 0.2402 0.2402 0.2402  3 Mg 2.85, 6 Si 3.13
Si 0.7598 0.7598 0.7598  3 Mg 2.85, 6 Si 3.13


In states/eV/f.u., the DOS at the Fermi energy values for the records above are, in order, 2.1 1.8.
In eV per atom, the energy relative to the elements, uncorrected values for the records above are, in order, 0.067 0.423.